No. 1
# TiNb2AlPd (GGA-PBEsol, relaxed)
data_TiNb2AlPd
_symmetry_space_group_name_H-M 'P 1'
_symmetry_Int_Tables_number 1
_symmetry_space_group_name_Hall 'P 1'
_cell_length_a 4.6422
_cell_length_b 4.6422
_cell_length_c 4.5209
_cell_angle_alpha 90.00
_cell_angle_beta 90.00
_cell_angle_gamma 90.00
loop_
_atom_site_label
_atom_site_fract_x
_atom_site_fract_y
_atom_site_fract_z
Ti1 0.0000 0.0000 0.0000
Nb1 0.0000 0.5000 0.5000
Nb2 0.5000 0.0000 0.5000
Al1 0.0000 0.0000 0.5000
Pd1 0.5000 0.5000 0.0000
# ΔH_f (0 K), kcal/mol of atoms: 26.02
# Total moment, μB per formula unit: 0.00
# Energy, eV per atom: -6.875
# Calculated density, g/cm3: 6.3

No. 2
# MnInSi2 (GGA-PBEsol, relaxed)
data_MnInSi2
_symmetry_space_group_name_H-M 'P 1'
_symmetry_Int_Tables_number 1
_symmetry_space_group_name_Hall 'P 1'
_cell_length_a 4.9569
_cell_length_b 4.9569
_cell_length_c 4.9569
_cell_angle_alpha 133.17
_cell_angle_beta 133.17
_cell_angle_gamma 68.39
loop_
_atom_site_label
_atom_site_fract_x
_atom_site_fract_y
_atom_site_fract_z
Mn1 0.0000 0.0000 0.0000
In1 0.2500 0.7500 0.5000
Si1 0.5000 0.5000 0.0000
Si2 0.7500 0.2500 0.5000
# Total moment, μB per formula unit: 3.27
# Energy, eV per atom: -5.667
# Formation energy without anion corrections, eV/atom: 0.393
# Calculated density, g/cm3: 5.9

No. 3
# LaYOs (GGA-PBEsol, relaxed)
data_LaYOs
_symmetry_space_group_name_H-M 'P 1'
_symmetry_Int_Tables_number 1
_symmetry_space_group_name_Hall 'P 1'
_cell_length_a 7.2211
_cell_length_b 7.2211
_cell_length_c 7.2211
_cell_angle_alpha 152.79
_cell_angle_beta 152.79
_cell_angle_gamma 38.86
loop_
_atom_site_label
_atom_site_fract_x
_atom_site_fract_y
_atom_site_fract_z
La1 0.0000 0.0000 0.0000
Y1 0.7513 0.7513 0.0000
Os1 0.3697 0.3697 0.0000
# ΔH_f (0 K), kcal/mol of atoms: -2.20
# Total moment, μB per formula unit: 0.00
# Energy, eV per atom: -8.224
# Calculated density, g/cm3: 8.8

No. 4
# HoB7Mo3 (GGA-PBEsol, relaxed)
data_HoB7Mo3
_symmetry_space_group_name_H-M 'P 1'
_symmetry_Int_Tables_number 1
_symmetry_space_group_name_Hall 'P 1'
_cell_length_a 10.9707
_cell_length_b 3.0827
_cell_length_c 12.7130
_cell_angle_alpha 90.00
_cell_angle_beta 90.00
_cell_angle_gamma 90.00
loop_
_atom_site_label
_atom_site_fract_x
_atom_site_fract_y
_atom_site_fract_z
Ho1 0.0525 0.2500 0.1922
Ho2 0.4475 0.7500 0.6922
Ho3 0.5525 0.2500 0.3078
Ho4 0.9475 0.7500 0.8078
B1 0.0108 0.7500 0.3626
B2 0.0374 0.7500 0.0181
B3 0.0675 0.7500 0.6159
B4 0.1666 0.7500 0.3330
B5 0.1863 0.7500 0.0672
B6 0.2304 0.7500 0.5821
B7 0.2489 0.7500 0.8264
B8 0.2511 0.2500 0.3264
B9 0.2696 0.2500 0.0821
B10 0.3137 0.2500 0.5672
B11 0.3334 0.2500 0.8330
B12 0.4325 0.2500 0.1159
B13 0.4626 0.2500 0.5181
B14 0.4892 0.2500 0.8626
B15 0.5108 0.7500 0.1374
B16 0.5374 0.7500 0.4819
B17 0.5675 0.7500 0.8841
B18 0.6666 0.7500 0.1670
B19 0.6863 0.7500 0.4328
B20 0.7304 0.7500 0.9179
B21 0.7489 0.7500 0.6736
B22 0.7511 0.2500 0.1736
B23 0.7696 0.2500 0.4179
B24 0.8137 0.2500 0.9328
B25 0.8334 0.2500 0.6670
B26 0.9325 0.2500 0.3841
B27 0.9626 0.2500 0.9819
B28 0.9892 0.2500 0.6374
Mo1 0.1180 0.2500 0.4732
Mo2 0.1595 0.2500 0.9360
Mo3 0.1837 0.2500 0.7025
Mo4 0.3163 0.7500 0.2025
Mo5 0.3405 0.7500 0.4360
Mo6 0.3820 0.7500 0.9732
Mo7 0.6180 0.2500 0.0268
Mo8 0.6595 0.2500 0.5640
Mo9 0.6837 0.2500 0.7975
Mo10 0.8163 0.7500 0.2975
Mo11 0.8405 0.7500 0.0640
Mo12 0.8820 0.7500 0.5268
# ΔH_f (0 K), kcal/mol of atoms: -14.82
# Total moment, μB per formula unit: 0.00
# Energy, eV per atom: -8.767
# Calculated density, g/cm3: 8.2

No. 5
# TlGe2Se2 (GGA-PBEsol, relaxed)
data_TlGe2Se2
_symmetry_space_group_name_H-M 'P 1'
_symmetry_Int_Tables_number 1
_symmetry_space_group_name_Hall 'P 1'
_cell_length_a 5.8658
_cell_length_b 5.8658
_cell_length_c 5.8658
_cell_angle_alpha 128.16
_cell_angle_beta 128.16
_cell_angle_gamma 76.37
loop_
_atom_site_label
_atom_site_fract_x
_atom_site_fract_y
_atom_site_fract_z
Tl1 0.0000 0.0000 0.0000
Ge1 0.3493 0.3493 0.0000
Ge2 0.6507 0.6507 0.0000
Se1 0.2500 0.7500 0.5000
Se2 0.7500 0.2500 0.5000
# Total moment, μB per formula unit: 0.00
# Energy, eV per atom: -4.148
# Formation energy without anion corrections, eV/atom: -0.106
# Calculated density, g/cm3: 7.0

No. 6
# Li3Sb (GGA-PBEsol, relaxed)
data_Li3Sb
_symmetry_space_group_name_H-M 'P 1'
_symmetry_Int_Tables_number 1
_symmetry_space_group_name_Hall 'P 1'
_cell_length_a 4.6400
_cell_length_b 4.6400
_cell_length_c 8.2513
_cell_angle_alpha 90.00
_cell_angle_beta 90.00
_cell_angle_gamma 120.00
loop_
_atom_site_label
_atom_site_fract_x
_atom_site_fract_y
_atom_site_fract_z
Li1 0.0000 0.0000 0.2500
Li2 0.0000 0.0000 0.7500
Li3 0.3333 0.6667 0.0876
Li4 0.3333 0.6667 0.4124
Li5 0.6667 0.3333 0.5876
Li6 0.6667 0.3333 0.9124
Sb1 0.3333 0.6667 0.7500
Sb2 0.6667 0.3333 0.2500
# Total moment, μB per formula unit: 0.00
# Energy, eV per atom: -3.253
# Formation energy without anion corrections, eV/atom: -0.639
# Calculated density, g/cm3: 3.1
# Polymorph energy (0 for the lowest one), eV per atom: 0.014

No. 7
# CuBiMo3 (GGA-PBEsol, relaxed)
data_CuBiMo3
_symmetry_space_group_name_H-M 'P 1'
_symmetry_Int_Tables_number 1
_symmetry_space_group_name_Hall 'P 1'
_cell_length_a 4.5390
_cell_length_b 4.5390
_cell_length_c 4.5390
_cell_angle_alpha 90.00
_cell_angle_beta 90.00
_cell_angle_gamma 90.00
loop_
_atom_site_label
_atom_site_fract_x
_atom_site_fract_y
_atom_site_fract_z
Cu1 0.0000 0.0000 0.0000
Bi1 0.5000 0.5000 0.5000
Mo1 0.0000 0.0000 0.5000
Mo2 0.0000 0.5000 0.0000
Mo3 0.5000 0.0000 0.0000
# ΔH_f (0 K), kcal/mol of atoms: 34.85
# Total moment, μB per formula unit: 0.00
# Energy, eV per atom: -7.273
# Calculated density, g/cm3: 9.9

No. 8
# Ga3SnP (GGA-PBEsol, relaxed)
data_Ga3SnP
_symmetry_space_group_name_H-M 'P 1'
_symmetry_Int_Tables_number 1
_symmetry_space_group_name_Hall 'P 1'
_cell_length_a 4.7481
_cell_length_b 4.7481
_cell_length_c 4.7481
_cell_angle_alpha 90.00
_cell_angle_beta 90.00
_cell_angle_gamma 90.00
loop_
_atom_site_label
_atom_site_fract_x
_atom_site_fract_y
_atom_site_fract_z
Ga1 0.0000 0.0000 0.5000
Ga2 0.0000 0.5000 0.0000
Ga3 0.5000 0.0000 0.0000
Sn1 0.5000 0.5000 0.5000
P1 0.0000 0.0000 0.0000
# ΔH_f (0 K), kcal/mol of atoms: 5.72
# Total moment, μB per formula unit: 0.00
# Energy, eV per atom: -3.766
# Calculated density, g/cm3: 5.6

No. 9
# CaAs4Rh6 (GGA-PBEsol, relaxed)
data_CaAs4Rh6
_symmetry_space_group_name_H-M 'P 1'
_symmetry_Int_Tables_number 1
_symmetry_space_group_name_Hall 'P 1'
_cell_length_a 7.1747
_cell_length_b 7.1747
_cell_length_c 3.7515
_cell_angle_alpha 90.00
_cell_angle_beta 90.00
_cell_angle_gamma 120.00
loop_
_atom_site_label
_atom_site_fract_x
_atom_site_fract_y
_atom_site_fract_z
Ca1 0.0000 0.0000 0.0000
As1 0.1889 0.3779 0.5000
As2 0.1889 0.8111 0.5000
As3 0.6221 0.8111 0.5000
As4 0.6667 0.3333 0.0000
Rh1 0.0697 0.5349 0.0000
Rh2 0.4006 0.2003 0.5000
Rh3 0.4651 0.5349 0.0000
Rh4 0.4651 0.9303 0.0000
Rh5 0.7997 0.2003 0.5000
Rh6 0.7997 0.5994 0.5000
# ΔH_f (0 K), kcal/mol of atoms: -15.70
# Total moment, μB per formula unit: 0.00
# Energy, eV per atom: -7.171
# Calculated density, g/cm3: 9.5

No. 10
# Be2RePb (GGA-PBEsol, relaxed)
data_Be2RePb
_symmetry_space_group_name_H-M 'P 1'
_symmetry_Int_Tables_number 1
_symmetry_space_group_name_Hall 'P 1'
_cell_length_a 4.7153
_cell_length_b 4.7153
_cell_length_c 4.7153
_cell_angle_alpha 132.34
_cell_angle_beta 132.34
_cell_angle_gamma 69.70
loop_
_atom_site_label
_atom_site_fract_x
_atom_site_fract_y
_atom_site_fract_z
Be1 0.2500 0.7500 0.5000
Be2 0.7500 0.2500 0.5000
Re1 0.0000 0.0000 0.0000
Pb1 0.5000 0.5000 0.0000
# ΔH_f (0 K), kcal/mol of atoms: 17.13
# Total moment, μB per formula unit: 0.47
# Energy, eV per atom: -5.590
# Calculated density, g/cm3: 12.2

No. 11
# MgMo2Ru (GGA-PBEsol, relaxed)
data_MgMo2Ru
_symmetry_space_group_name_H-M 'P 1'
_symmetry_Int_Tables_number 1
_symmetry_space_group_name_Hall 'P 1'
_cell_length_a 3.1050
_cell_length_b 3.1050
_cell_length_c 6.4183
_cell_angle_alpha 90.00
_cell_angle_beta 90.00
_cell_angle_gamma 90.00
loop_
_atom_site_label
_atom_site_fract_x
_atom_site_fract_y
_atom_site_fract_z
Mg1 0.0000 0.0000 0.0000
Mo1 0.0000 0.0000 0.5149
Mo2 0.5000 0.5000 0.2837
Ru1 0.5000 0.5000 0.7402
# ΔH_f (0 K), kcal/mol of atoms: 5.89
# Total moment, μB per formula unit: 0.00
# Energy, eV per atom: -8.601
# Calculated density, g/cm3: 8.5

No. 12
# CuPbW2 (GGA-PBEsol, relaxed)
data_CuPbW2
_symmetry_space_group_name_H-M 'P 1'
_symmetry_Int_Tables_number 1
_symmetry_space_group_name_Hall 'P 1'
_cell_length_a 5.2255
_cell_length_b 5.2255
_cell_length_c 5.2255
_cell_angle_alpha 136.89
_cell_angle_beta 136.89
_cell_angle_gamma 62.61
loop_
_atom_site_label
_atom_site_fract_x
_atom_site_fract_y
_atom_site_fract_z
Cu1 0.0000 0.0000 0.0000
Pb1 0.5000 0.5000 0.0000
W1 0.2500 0.7500 0.5000
W2 0.7500 0.2500 0.5000
# ΔH_f (0 K), kcal/mol of atoms: 19.50
# Total moment, μB per formula unit: 0.00
# Energy, eV per atom: -8.141
# Calculated density, g/cm3: 16.1